Compound: HgW2
Source: Alexandria
Functional: meta-GGA SCAN
Structure: PBEsol geometry

## Properties
Fermi-level density of states = 0.3054 states/eV/atom
SG = Immm, No. 71
ρ = 18.85 g cm⁻³
E_tot = -68.481 eV per atom
ΔH_f (0 K) = 0.700 eV/atom
volume = 50 Å³/cell

Unit cell a=2.7215 b=4.3245 c=4.9623 alpha=115.83 beta=105.92 gamma=90.00
Element x y z (fractional)
W1 0.6666 0.6666 0.3332
Hg1 0.0000 0.0000 0.0000
W2 0.3334 0.3334 0.6668